No. 1
Material: Sc2AgSe3
Method: DFT, PBE
State: optimized geometry

Geometry as POSCAR:
```
Sc2AgSe3
1.0
8.6638 0.0000 0.0000
0.0000 3.7458 0.0000
0.0000 0.0000 15.7589
Ag Sc Se
4 8 12
direct
0.5524 0.2500 0.0621
0.0524 0.2500 0.4379
0.9476 0.7500 0.5621
0.4476 0.7500 0.9379
0.1634 0.2500 0.0580
0.8914 0.7500 0.2075
0.3914 0.7500 0.2925
0.6634 0.2500 0.4420
0.3366 0.7500 0.5580
0.6086 0.2500 0.7075
0.1086 0.2500 0.7925
0.8366 0.7500 0.9420
0.8540 0.2500 0.0750
0.3589 0.7500 0.1190
0.1171 0.2500 0.2338
0.6171 0.2500 0.2662
0.8589 0.7500 0.3810
0.3540 0.2500 0.4250
0.6460 0.7500 0.5750
0.1411 0.2500 0.6190
0.3829 0.7500 0.7338
0.8829 0.7500 0.7662
0.6411 0.2500 0.8810
0.1461 0.7500 0.9250
```

Properties
The total magnetization comes out at 0.0031 μB/atom.

---

No. 2
Material: TaCdNO
Method: DFT, PBE
State: optimized geometry

Geometry as POSCAR:
```
TaCdNO
1.0
3.2118 0.0000 0.0000
0.0000 5.9196 0.0000
0.0000 0.0000 7.2023
Cd N O Ta
2 2 2 2
direct
0.0000 0.6562 0.4535
0.0000 0.3438 0.9535
0.0000 0.7155 0.0397
0.0000 0.2845 0.5397
0.5000 0.0638 0.2425
0.5000 0.9362 0.7425
0.5000 0.8997 0.0103
0.5000 0.1003 0.5103
```

Properties
The total magnetization comes out at 0.0000 μB/atom.

---

No. 3
Material: GdErHg6
Method: DFT, PBE
State: optimized geometry

Geometry as POSCAR:
```
GdErHg6
1.0
6.5981 0.0000 0.0000
-3.2991 5.7142 0.0000
0.0000 0.0000 4.9949
Er Gd Hg
1 1 6
direct
0.0000 0.0000 0.0000
0.3333 0.6667 0.5000
0.5006 0.0013 0.0000
0.5006 0.4994 0.0000
0.9987 0.4994 0.0000
0.3327 0.1663 0.5000
0.8337 0.1663 0.5000
0.8337 0.6673 0.5000
```

Properties
As for the formation energy: -0.344 eV per atom. The total magnetization comes out at 0.0000 μB/atom.

---

No. 4
Material: LiGaAgSn
Method: DFT, PBE
State: optimized geometry

Geometry as POSCAR:
```
LiGaAgSn
1.0
0.0000 3.3755 3.3755
3.3755 0.0000 3.3755
3.3755 3.3755 0.0000
Ag Ga Li Sn
1 1 1 1
direct
0.0000 0.0000 0.0000
0.2500 0.2500 0.2500
0.7500 0.7500 0.7500
0.5000 0.5000 0.5000
```

---

One value per record, in order, for energy: -0.2004 -0.2779 -0.0632 -0.1116 Ha/atom.